Entry 1:
A plane-wave DFT calculation with GGA-PBE was carried out for a relaxed Rb3Tm2ZrTe6 crystal.

a = 7.637 Å, b = 13.229 Å, c = 8.938 Å
α = 90.00°, β = 106.56°, γ = 90.00°
Space group C2/m (No. 12)
Unique sites:
Rb1 0.000 0.000 0.000 [2 per cell]
Rb2 0.000 0.331 0.000 [4 per cell]
Tm1 0.000 0.166 0.500 [4 per cell]
Zr1 0.000 0.500 0.500 [2 per cell]
Te1 0.228 0.337 0.696 [8 per cell]
Te2 0.240 0.000 0.697 [4 per cell]

Summary:
The value obtained for the total energy is -4.47 eV/atom. As for the density of states at the Fermi level: 10.72 states/eV per cell. The value obtained for the uncorrected formation energy is -1.20 eV per atom.

=====

Entry 2:
A plane-wave DFT calculation with GGA-PBE was carried out for a relaxed Rb4Tm3ZrTe8 crystal.

a = 8.8554 Å, b = 8.8554 Å, c = 25.6633 Å
α = 90.00°, β = 90.00°, γ = 120.00°
Space group R-3m (No. 166, hexagonal axes)
Unique sites:
Rb1 0.0000 0.0000 0.0000 [3 per cell]
Rb2 0.0000 0.5000 0.0000 [9 per cell]
Tm1 0.0000 0.5000 0.5000 [9 per cell]
Zr1 0.0000 0.0000 0.5000 [3 per cell]
Te1 0.0000 0.0000 0.2329 [6 per cell]
Te2 0.0075 0.5037 0.2319 [18 per cell]

Summary:
The value obtained for the total energy is -4.42 eV/atom. As for the density of states at the Fermi level: 12.13 states/eV per cell. The value obtained for the uncorrected formation energy is -1.24 eV per atom.

=====

Entry 3:
A plane-wave DFT calculation with GGA-PBE was carried out for a relaxed RbU6Te12 crystal.

a = 14.6157 Å, b = 14.6157 Å, c = 10.7258 Å
α = 90.00°, β = 90.00°, γ = 120.00°
Space group R-3m (No. 166, hexagonal axes)
Unique sites:
Rb1 0.0000 0.0000 0.0000 [3 per cell]
U1 0.0629 0.5314 0.2671 [18 per cell]
Te1 0.0000 0.3732 0.5000 [18 per cell]
Te2 0.0859 0.1718 0.3430 [18 per cell]

Summary:
The value obtained for the total energy is -6.15 eV/atom. As for the density of states at the Fermi level: 113.59 states/eV per cell. The value obtained for the uncorrected formation energy is -0.55 eV per atom.

=====

Entry 4:
A plane-wave DFT calculation with GGA-PBE was carried out for a relaxed Rb3UTe8 crystal.

a = 9.636 Å, b = 9.636 Å, c = 11.178 Å
α = 90.00°, β = 90.00°, γ = 90.00°
Space group I-42m (No. 121)
Unique sites:
Rb1 0.000 0.000 0.000 [2 per cell]
Rb2 0.000 0.500 0.250 [4 per cell]
U1 0.000 0.000 0.500 [2 per cell]
Te1 0.143 0.143 0.288 [8 per cell]
Te2 0.228 0.228 0.516 [8 per cell]

Summary:
The value obtained for the total energy is -3.88 eV/atom. As for the density of states at the Fermi level: 18.69 states/eV per cell. The value obtained for the uncorrected formation energy is -0.60 eV per atom.

=====

Copy entry 4 word for word.
A plane-wave DFT calculation with GGA-PBE was carried out for a relaxed Rb3UTe8 crystal.

a = 9.636 Å, b = 9.636 Å, c = 11.178 Å
α = 90.00°, β = 90.00°, γ = 90.00°
Space group I-42m (No. 121)
Unique sites:
Rb1 0.000 0.000 0.000 [2 per cell]
Rb2 0.000 0.500 0.250 [4 per cell]
U1 0.000 0.000 0.500 [2 per cell]
Te1 0.143 0.143 0.288 [8 per cell]
Te2 0.228 0.228 0.516 [8 per cell]

Summary:
The value obtained for the total energy is -3.88 eV/atom. As for the density of states at the Fermi level: 18.69 states/eV per cell. The value obtained for the uncorrected formation energy is -0.60 eV per atom.